# 1
LiCr: relaxed, PBE.

ΔE_f	38.1	kcal/mol of atoms
theoretical density	1.3	Mg/m³

abc: 7.664 7.664 7.664
angles: 90.00 90.00 90.00
Space group Pm-3n (No. 223)
Asymmetric unit:
Li1 0.000 0.250 0.500 x6
Cr1 0.000 0.500 0.250 x6

=====

# 2
LiCr: relaxed, PBE.

ΔE_f	36.9	kcal/mol of atoms
theoretical density	1.8	Mg/m³

abc: 6.040 6.040 6.040
angles: 90.00 90.00 90.00
Space group F-43m (No. 216)
Asymmetric unit:
Li1 0.000 0.000 0.000 x4
Cr1 0.250 0.250 0.750 x4

=====

# 3
LiCr5: relaxed, PBE.

ΔE_f	12.7	kcal/mol of atoms
theoretical density	5.5	Mg/m³

abc: 4.8648 4.8648 3.9191
angles: 90.00 90.00 120.00
Space group P6/mmm (No. 191)
Asymmetric unit:
Li1 0.0000 0.0000 0.0000 x1
Cr1 0.0000 0.5000 0.5000 x3
Cr2 0.3333 0.6667 0.0000 x2

=====

# 4
LiCr3: relaxed, PBE.

ΔE_f	10.0	kcal/mol of atoms
theoretical density	5.8	Mg/m³

abc: 8.391 2.301 4.848
angles: 90.00 90.65 90.00
Space group C2/m (No. 12)
Asymmetric unit:
Li1 0.000 0.000 0.000 x2
Cr1 0.000 0.500 0.500 x2
Cr2 0.247 0.500 0.248 x4

=====

# 5
Li2Cr: relaxed, PBE.

ΔE_f	8.8	kcal/mol of atoms
theoretical density	2.4	Mg/m³

abc: 4.791 13.120 2.908
angles: 90.00 90.00 90.00
Space group Cmcm (No. 63)
Asymmetric unit:
Li1 0.000 0.082 0.250 x4
Li2 0.000 0.265 0.750 x4
Cr1 0.000 0.445 0.250 x4

=====

# 6
Li7Cr6: relaxed, PBE.

ΔE_f	15.9	kcal/mol of atoms
theoretical density	3.7	Mg/m³

abc: 4.3608 4.3608 29.1939
angles: 90.00 90.00 120.00
Space group R-3m (No. 166, hexagonal axes)
Asymmetric unit:
Li1 0.0000 0.0000 0.0000 x3
Li2 0.0045 0.5023 0.4095 x18
Cr1 0.0000 0.0000 0.1585 x6
Cr2 0.0000 0.0000 0.3413 x6
Cr3 0.0000 0.0000 0.4663 x6

=====

# 7
LiCr: relaxed, PBE.

ΔE_f	12.2	kcal/mol of atoms
theoretical density	3.9	Mg/m³

abc: 2.4725 2.4725 9.5649
angles: 90.00 90.00 120.00
Space group P6_3/mmc (No. 194)
Asymmetric unit:
Li1 0.3333 0.6667 0.2500 x2
Cr1 0.0000 0.0000 0.0000 x2

=====

# 8
Li2Cr: relaxed, PBE.

ΔE_f	11.9	kcal/mol of atoms
theoretical density	2.0	Mg/m³

abc: 2.950 4.220 8.705
angles: 90.00 90.00 90.00
Space group Immm (No. 71)
Asymmetric unit:
Li1 0.000 0.000 0.165 x4
Cr1 0.000 0.000 0.500 x2

=====

# 9
Li4Cr: relaxed, PBE.

ΔE_f	15.3	kcal/mol of atoms
theoretical density	1.0	Mg/m³

abc: 5.083 5.083 5.083
angles: 90.00 90.00 90.00
Space group Pm-3m (No. 221)
Asymmetric unit:
Li1 0.000 0.000 0.000 x1
Li2 0.000 0.500 0.500 x3
Cr1 0.500 0.500 0.500 x1

=====

# 10
LiCr: relaxed, PBE.

ΔE_f	13.6	kcal/mol of atoms
theoretical density	3.8	Mg/m³

abc: 2.4716 2.4716 9.8154
angles: 90.00 90.00 120.00
Space group P6_3mc (No. 186)
Asymmetric unit:
Li1 0.3333 0.6667 0.0000 x2
Cr1 0.3333 0.6667 0.7417 x2

=====

# 11
LiCr: relaxed, PBE.

ΔE_f	13.8	kcal/mol of atoms
theoretical density	3.9	Mg/m³

abc: 13.163 2.285 5.060
angles: 90.00 90.00 90.00
Space group Pmn2_1 (No. 31)
Asymmetric unit:
Li1 0.000 0.109 0.000 x2
Li2 0.159 0.981 0.796 x4
Cr1 0.000 0.694 0.469 x2
Cr2 0.157 0.435 0.312 x4

=====

# 12
LiCr: relaxed, PBE.

ΔE_f	26.0	kcal/mol of atoms
theoretical density	2.6	Mg/m³

abc: 5.309 5.309 5.309
angles: 90.00 90.00 90.00
Space group Fm-3m (No. 225)
Asymmetric unit:
Li1 0.000 0.000 0.000 x4
Cr1 0.000 0.000 0.500 x4

=====

# 13
LiCr3: relaxed, PBE.

ΔE_f	10.1	kcal/mol of atoms
theoretical density	5.4	Mg/m³

abc: 4.141 4.141 5.877
angles: 90.00 90.00 90.00
Space group I4/mmm (No. 139)
Asymmetric unit:
Li1 0.000 0.000 0.000 x2
Cr1 0.000 0.000 0.500 x2
Cr2 0.000 0.500 0.250 x4

=====

# 14
Li2Cr: relaxed, PBE.

ΔE_f	13.1	kcal/mol of atoms
theoretical density	2.0	Mg/m³

abc: 2.881 4.984 14.901
angles: 90.00 90.00 90.00
Space group Imma (No. 74)
Asymmetric unit:
Li1 0.000 0.250 0.000 x4
Li2 0.000 0.250 0.174 x4
Cr1 0.000 0.250 0.666 x4

=====

# 15
Li2Cr: relaxed, PBE.

ΔE_f	11.8	kcal/mol of atoms
theoretical density	2.1	Mg/m³

abc: 3.205 3.205 10.256
angles: 90.00 90.00 90.00
Space group I4/mmm (No. 139)
Asymmetric unit:
Li1 0.000 0.000 0.167 x4
Cr1 0.000 0.000 0.500 x2

=====

# 16
Li2Cr: relaxed, PBE.

ΔE_f	16.8	kcal/mol of atoms
theoretical density	1.6	Mg/m³

abc: 4.778 4.778 3.083
angles: 90.00 90.00 90.00
Space group P4/mmm (No. 123)
Asymmetric unit:
Li1 0.000 0.500 0.000 x2
Cr1 0.000 0.000 0.500 x1

=====

# 17
LiCr5: relaxed, PBE.

ΔE_f	7.0	kcal/mol of atoms
theoretical density	6.2	Mg/m³

abc: 4.101 12.148 2.878
angles: 90.00 90.00 90.00
Space group Cmmm (No. 65)
Asymmetric unit:
Li1 0.000 0.000 0.000 x2
Cr1 0.000 0.172 0.500 x4
Cr2 0.000 0.335 0.000 x4
Cr3 0.000 0.500 0.500 x2

=====

# 18
LiCr3: relaxed, PBE.

ΔE_f	9.9	kcal/mol of atoms
theoretical density	4.9	Mg/m³

abc: 2.955 2.955 6.367
angles: 90.00 90.00 90.00
Space group P4/mmm (No. 123)
Asymmetric unit:
Li1 0.000 0.000 0.000 x1
Cr1 0.000 0.000 0.500 x1
Cr2 0.500 0.500 0.281 x2

=====

# 19
LiCr: relaxed, PBE.

ΔE_f	11.9	kcal/mol of atoms
theoretical density	3.9	Mg/m³

abc: 2.4623 2.4623 14.3630
angles: 90.00 90.00 120.00
Space group R-3m (No. 166, hexagonal axes)
Asymmetric unit:
Li1 0.0000 0.0000 0.0000 x3
Cr1 0.0000 0.0000 0.5000 x3

=====

# 20
LiCr: relaxed, PBE.

ΔE_f	13.0	kcal/mol of atoms
theoretical density	3.7	Mg/m³

abc: 5.139 5.139 8.020
angles: 90.00 90.00 90.00
Space group P4_12_12 (No. 92)
Asymmetric unit:
Li1 0.019 0.192 0.367 x8
Cr1 0.098 0.309 0.928 x8